(1)
DFT (GGA-PBEsol) results for a geometry-optimized CaTlPb2 structure.

Geometry as extended XYZ:
```
4
Lattice="5.472 0.000 0.000 2.736 4.739 0.000 2.736 1.580 4.468" Properties=species:S:1:pos:R:3 pbc="T T T"
Ca 5.472 3.159 2.234
Pb 0.000 0.000 0.000
Pb 8.208 4.739 3.351
Tl 2.736 1.580 1.117
```

**Raw total energy**: -3.4301 eV per atom
**Energy relative to the elements**: -0.240 eV/atom

=====

(2)
DFT (GGA-PBEsol) results for a geometry-optimized CaPb2W structure.

Geometry as extended XYZ:
```
4
Lattice="3.936 0.000 0.000 0.000 4.790 0.000 0.000 0.000 4.790" Properties=species:S:1:pos:R:3 pbc="T T T"
W 1.968 2.395 2.395
Pb 0.000 2.395 0.000
Pb 0.000 0.000 2.395
Ca 1.968 0.000 0.000
```

**E above lowest polymorph**: 29.6 meV per atom
**Raw total energy**: -5.3228 eV per atom
**Energy relative to the elements**: 0.662 eV/atom

=====

Which of these has the lowest energy relative to the elements? CaTlPb2

=====

Which of these has the highest energy relative to the elements? CaPb2W

=====

Copy entry 1 word for word.
DFT (GGA-PBEsol) results for a geometry-optimized CaTlPb2 structure.

Geometry as extended XYZ:
```
4
Lattice="5.472 0.000 0.000 2.736 4.739 0.000 2.736 1.580 4.468" Properties=species:S:1:pos:R:3 pbc="T T T"
Ca 5.472 3.159 2.234
Pb 0.000 0.000 0.000
Pb 8.208 4.739 3.351
Tl 2.736 1.580 1.117
```

**Raw total energy**: -3.4301 eV per atom
**Energy relative to the elements**: -0.240 eV/atom